[1]
Here is a relaxed structure of CaCoNi2 from the Alexandria database. Energies are from PBE-GGA.

CIF file:
```
data_CaCoNi2
_space_group_name_H-M_alt 'F -4 3 m'
_space_group_IT_number 216
_space_group_name_Hall 'F -4 2 3'
_cell_length_a 6.137
_cell_length_b 6.137
_cell_length_c 6.137
_cell_angle_alpha 90.00
_cell_angle_beta 90.00
_cell_angle_gamma 90.00
loop_
_atom_site_label
_atom_site_type_symbol
_atom_site_fract_x
_atom_site_fract_y
_atom_site_fract_z
Ca1 Ca 0.000 0.000 0.000
Co1 Co 0.250 0.250 0.250
Ni1 Ni 0.000 0.000 0.500
Ni2 Ni 0.250 0.250 0.750
```

Calculated values
Magnetic moment   8.0 Bohr magnetons per cell
Excess energy over the best structure of this formula in the dataset   394.3 meV/atom

---

[2]
Here is a relaxed structure of CaCoNi2 from the Alexandria database. Energies are from PBE-GGA.

CIF file:
```
data_CaCoNi2
_space_group_name_H-M_alt 'R 3 m'
_space_group_IT_number 160
_space_group_name_Hall 'R 3 -2"'
_cell_length_a 2.7614
_cell_length_b 2.7614
_cell_length_c 25.7410
_cell_angle_alpha 90.00
_cell_angle_beta 90.00
_cell_angle_gamma 120.00
loop_
_atom_site_label
_atom_site_type_symbol
_atom_site_fract_x
_atom_site_fract_y
_atom_site_fract_z
Ca1 Ca 0.0000 0.0000 0.0000
Co1 Co 0.0000 0.0000 0.2384
Ni1 Ni 0.0000 0.0000 0.4996
Ni2 Ni 0.0000 0.0000 0.7577
```

Calculated values
Magnetic moment   5.7 Bohr magnetons per cell
Excess energy over the best structure of this formula in the dataset   614.5 meV/atom

---

[3]
Here is a relaxed structure of CaCoNi2 from the Alexandria database. Energies are from PBE-GGA.

CIF file:
```
data_CaCoNi2
_space_group_name_H-M_alt 'I -4 m 2'
_space_group_IT_number 119
_space_group_name_Hall 'I -4 -2'
_cell_length_a 3.849
_cell_length_b 3.849
_cell_length_c 7.857
_cell_angle_alpha 90.00
_cell_angle_beta 90.00
_cell_angle_gamma 90.00
loop_
_atom_site_label
_atom_site_type_symbol
_atom_site_fract_x
_atom_site_fract_y
_atom_site_fract_z
Ca1 Ca 0.000 0.000 0.000
Co1 Co 0.000 0.500 0.750
Ni1 Ni 0.000 0.000 0.500
Ni2 Ni 0.000 0.500 0.250
```

Calculated values
Magnetic moment   4.9 Bohr magnetons per cell
Excess energy over the best structure of this formula in the dataset   368.1 meV/atom

---

[4]
Here is a relaxed structure of CaCoNi2 from the Alexandria database. Energies are from PBE-GGA.

CIF file:
```
data_CaCoNi2
_space_group_name_H-M_alt 'I 4/m m m'
_space_group_IT_number 139
_space_group_name_Hall '-I 4 2'
_cell_length_a 3.994
_cell_length_b 3.994
_cell_length_c 7.317
_cell_angle_alpha 90.00
_cell_angle_beta 90.00
_cell_angle_gamma 90.00
loop_
_atom_site_label
_atom_site_type_symbol
_atom_site_fract_x
_atom_site_fract_y
_atom_site_fract_z
Ca1 Ca 0.000 0.000 0.000
Co1 Co 0.000 0.000 0.500
Ni1 Ni 0.000 0.500 0.250
```

Calculated values
Magnetic moment   4.7 Bohr magnetons per cell
Excess energy over the best structure of this formula in the dataset   355.6 meV/atom

---

[5]
Here is a relaxed structure of CaCoNi3 from the Alexandria database. Energies are from PBE-GGA.

CIF file:
```
data_CaCoNi3
_space_group_name_H-M_alt 'P m -3 m'
_space_group_IT_number 221
_space_group_name_Hall '-P 4 2 3'
_cell_length_a 4.420
_cell_length_b 4.420
_cell_length_c 4.420
_cell_angle_alpha 90.00
_cell_angle_beta 90.00
_cell_angle_gamma 90.00
loop_
_atom_site_label
_atom_site_type_symbol
_atom_site_fract_x
_atom_site_fract_y
_atom_site_fract_z
Ca1 Ca 0.000 0.000 0.000
Co1 Co 0.500 0.500 0.500
Ni1 Ni 0.000 0.000 0.500
```

Calculated values
Magnetic moment   0.5 Bohr magnetons per cell
Excess energy over the best structure of this formula in the dataset   1496.3 meV/atom

---

[6]
Here is a relaxed structure of Ca2Co2Ni from the Alexandria database. Energies are from PBE-GGA.

CIF file:
```
data_Ca2Co2Ni
_space_group_name_H-M_alt 'I 4/m m m'
_space_group_IT_number 139
_space_group_name_Hall '-I 4 2'
_cell_length_a 5.518
_cell_length_b 5.518
_cell_length_c 6.827
_cell_angle_alpha 90.00
_cell_angle_beta 90.00
_cell_angle_gamma 90.00
loop_
_atom_site_label
_atom_site_type_symbol
_atom_site_fract_x
_atom_site_fract_y
_atom_site_fract_z
Ca1 Ca 0.000 0.500 0.250
Co1 Co 0.000 0.000 0.160
Ni1 Ni 0.000 0.000 0.500
```

Calculated values
Magnetic moment   5.4 Bohr magnetons per cell
Total energy   -43.17 eV for the cell shown